1.
A plane-wave DFT calculation with PBEsol was carried out for a relaxed structure of K3CeBr6.

Cell and atoms, written as POSCAR:
```
K3CeBr6
1.0
-6.040 1.691 5.514
-8.013 -0.845 -2.195
-4.577 -6.202 3.213
Br K Ce
6 3 1
direct
0.759 0.241 0.759
0.241 0.759 0.759
0.759 0.241 0.241
0.241 0.759 0.241
0.759 0.759 0.241
0.241 0.241 0.759
0.750 0.750 0.750
0.250 0.250 0.250
0.500 0.500 0.500
0.000 0.000 0.000
```

Properties
**Raw formation energy**: -1.65 eV/atom
**Symmetry**: Fm-3m (225)
**V**: 412 Å³ per cell



2.
A plane-wave DFT calculation with PBEsol was carried out for a relaxed structure of TePtSe2Br.

Cell and atoms, written as POSCAR:
```
TePtSe2Br
1.0
4.928 0.000 0.000
0.000 4.928 0.000
0.000 0.000 4.929
Pt Br Se Te
1 1 2 1
direct
0.000 0.000 0.000
0.000 0.000 0.500
0.000 0.500 0.000
0.500 0.000 0.000
0.500 0.500 0.500
```

Properties
**Raw formation energy**: 0.28 eV/atom
**Symmetry**: P4/mmm (123)
**V**: 120 Å³ per cell



3.
A plane-wave DFT calculation with PBEsol was carried out for a relaxed structure of Zn2OsPbW.

Cell and atoms, written as POSCAR:
```
Zn2OsPbW
1.0
4.649 0.000 0.000
0.000 4.649 0.000
0.000 0.000 5.250
Os Zn Pb W
1 2 1 1
direct
0.500 0.500 0.500
0.500 0.000 0.000
0.000 0.500 0.000
0.000 0.000 0.000
0.000 0.000 0.500
```

Properties
**Uncorrected energy**: -3.9846 eV per atom
**Symmetry**: P4/mmm (123)
**V**: 113 Å³ per cell



4.
A plane-wave DFT calculation with PBEsol was carried out for a relaxed structure of Mn2CuO4.

Cell and atoms, written as POSCAR:
```
Mn2CuO4
1.0
-0.496 5.626 -0.213
-2.517 -3.227 -4.390
-2.471 -0.022 5.153
O Mn Cu
8 4 2
direct
0.716 0.432 0.198
0.719 0.979 0.740
0.739 0.021 0.260
0.261 0.979 0.740
0.284 0.568 0.802
0.284 0.568 0.266
0.281 0.021 0.260
0.716 0.432 0.734
0.500 0.000 0.500
0.500 0.000 0.000
0.852 0.704 0.602
0.148 0.296 0.398
0.000 0.500 0.000
0.500 0.500 0.000
```

Properties
**Raw formation energy**: -1.27 eV/atom
**Symmetry**: Imma (74)
**V**: 144 Å³ per cell



5.
A plane-wave DFT calculation with PBEsol was carried out for a relaxed structure of Sr3SiH.

Cell and atoms, written as POSCAR:
```
Sr3SiH
1.0
5.050 0.000 0.000
0.000 5.050 0.000
0.000 0.000 5.050
Sr Si H
3 1 1
direct
0.000 0.000 0.500
0.000 0.500 0.000
0.500 0.000 0.000
0.500 0.500 0.500
0.000 0.000 0.000
```

Properties
**Uncorrected energy**: -3.1354 eV per atom
**Symmetry**: Pm-3m (221)
**V**: 129 Å³ per cell



6.
A plane-wave DFT calculation with PBEsol was carried out for a relaxed structure of LiCd2Pb.

Cell and atoms, written as POSCAR:
```
LiCd2Pb
1.0
3.296 0.000 0.055
0.000 4.057 0.000
-0.109 0.000 6.557
Pb Li Cd
1 1 2
direct
0.500 0.500 0.737
0.000 0.000 0.481
0.000 0.000 0.025
0.500 0.500 0.258
```

Properties
**Uncorrected energy**: -2.1957 eV per atom
**Symmetry**: Pmm2 (25)
**V**: 88 Å³ per cell



7.
A plane-wave DFT calculation with PBEsol was carried out for a relaxed structure of Li2CaMg.

Cell and atoms, written as POSCAR:
```
Li2CaMg
1.0
-1.791 -2.992 -1.882
4.500 -1.492 -1.912
-0.638 -0.684 5.866
Li Ca Mg
2 1 1
direct
0.741 0.241 0.481
0.022 0.022 0.044
0.255 0.755 0.510
0.482 0.482 0.965
```

Properties
**Uncorrected energy**: -1.9454 eV per atom
**Symmetry**: Imm2 (44)
**V**: 101 Å³ per cell



8.
A plane-wave DFT calculation with PBEsol was carried out for a relaxed structure of CdAgAu2.

Cell and atoms, written as POSCAR:
```
CdAgAu2
1.0
-2.453 1.354 1.010
-0.295 -4.814 1.345
2.600 1.866 3.811
Cd Ag Au
1 1 2
direct
0.500 0.000 0.000
0.000 0.000 0.500
0.750 0.499 0.747
0.250 0.501 0.253
```

Properties
**Uncorrected energy**: -3.1812 eV per atom
**Symmetry**: C2/m (12)
**V**: 70 Å³ per cell



9.
A plane-wave DFT calculation with PBEsol was carried out for a relaxed structure of LiMn2P3O10.

Cell and atoms, written as POSCAR:
```
LiMn2P3O10
1.0
-8.043 1.389 0.505
3.186 -1.110 -7.449
2.843 -7.910 2.870
Mn P O Li
4 6 20 2
direct
0.168 0.253 0.456
0.832 0.747 0.544
0.298 0.712 0.044
0.702 0.288 0.956
0.179 0.929 0.250
0.243 0.173 0.819
0.757 0.827 0.181
0.854 0.425 0.681
0.146 0.575 0.319
0.821 0.071 0.750
0.457 0.247 0.993
0.543 0.753 0.007
0.897 0.444 0.216
0.272 0.319 0.716
0.284 0.128 0.369
0.103 0.556 0.784
0.246 0.535 0.493
0.716 0.872 0.631
0.794 0.203 0.624
0.764 0.437 0.795
0.858 0.031 0.295
0.142 0.969 0.705
0.921 0.830 0.124
0.206 0.797 0.376
0.236 0.563 0.205
0.079 0.170 0.876
0.741 0.086 0.869
0.754 0.465 0.507
0.259 0.914 0.131
0.728 0.681 0.284
0.339 0.589 0.750
0.661 0.411 0.250
```

Properties
**Raw formation energy**: -2.01 eV/atom
**Symmetry**: C2/c (15)
**V**: 446 Å³ per cell



10.
A plane-wave DFT calculation with PBEsol was carried out for a relaxed structure of BeAl2Ga.

Cell and atoms, written as POSCAR:
```
BeAl2Ga
1.0
4.440 0.000 0.000
2.220 5.511 0.000
2.220 0.000 5.511
Ga Al Be
2 4 2
direct
0.000 0.000 0.000
0.750 0.500 0.500
0.375 0.405 0.095
0.220 0.905 0.405
0.875 0.595 0.905
0.530 0.095 0.595
0.250 0.500 0.500
0.500 0.000 0.000
```

Properties
**Uncorrected energy**: -3.5415 eV per atom
**Symmetry**: I-42d (122)
**V**: 135 Å³ per cell



11.
A plane-wave DFT calculation with PBEsol was carried out for a relaxed structure of Ru2RhW.

Cell and atoms, written as POSCAR:
```
Ru2RhW
1.0
-1.969 1.830 -0.407
-1.409 -0.539 4.392
3.197 3.398 -0.187
Ru Rh W
2 1 1
direct
0.000 0.000 0.000
0.500 0.000 0.500
0.000 0.500 0.500
0.500 0.500 0.000
```

Properties
**Uncorrected energy**: -10.5915 eV per atom
**Symmetry**: P2/m (10)
**V**: 56 Å³ per cell



12.
A plane-wave DFT calculation with PBEsol was carried out for a relaxed structure of Pt2PbW.

Cell and atoms, written as POSCAR:
```
Pt2PbW
1.0
3.965 0.000 0.000
0.000 3.965 0.000
0.000 0.000 4.299
Pt W Pb
2 1 1
direct
0.000 0.500 0.000
0.500 0.000 0.000
0.500 0.500 0.500
0.000 0.000 0.500
```

Properties
**Uncorrected energy**: -7.5316 eV per atom
**Symmetry**: P4/mmm (123)
**V**: 68 Å³ per cell



13.
A plane-wave DFT calculation with PBEsol was carried out for a relaxed structure of CrCo2Au.

Cell and atoms, written as POSCAR:
```
CrCo2Au
1.0
4.140 0.000 0.000
2.070 3.586 0.000
2.070 1.195 3.381
Co Cr Au
2 1 1
direct
0.250 0.250 0.250
0.000 0.000 0.000
0.750 0.750 0.750
0.500 0.500 0.500
```

Properties
**Uncorrected energy**: -6.9841 eV per atom
**Symmetry**: F-43m (216)
**V**: 50 Å³ per cell



14.
A plane-wave DFT calculation with PBEsol was carried out for a relaxed structure of Y2MgZn.

Cell and atoms, written as POSCAR:
```
Y2MgZn
1.0
-1.845 2.656 1.787
1.764 -1.761 4.437
4.041 3.069 -0.389
Mg Y Zn
1 2 1
direct
0.500 0.000 0.000
0.000 0.000 0.500
0.000 0.500 0.000
0.500 0.500 0.500
```

Properties
**Uncorrected energy**: -4.4314 eV per atom
**Symmetry**: P4/mmm (123)
**V**: 96 Å³ per cell



15.
A plane-wave DFT calculation with PBEsol was carried out for a relaxed structure of Li2MnCrO4.

Cell and atoms, written as POSCAR:
```
Li2MnCrO4
1.0
5.724 -0.013 0.002
-0.009 5.724 0.002
2.822 2.820 4.327
Cr O Li Mn
2 8 4 2
direct
0.000 0.000 0.500
0.000 0.000 0.000
0.779 0.267 0.482
0.733 0.221 0.018
0.221 0.733 0.518
0.215 0.238 0.538
0.238 0.215 0.038
0.762 0.785 0.962
0.785 0.762 0.462
0.267 0.779 0.982
0.500 0.500 0.000
0.000 0.500 0.000
0.500 0.000 0.500
0.500 0.500 0.500
0.500 0.000 0.000
0.000 0.500 0.500
```

Properties
**Raw formation energy**: -1.91 eV/atom
**Symmetry**: C2/c (15)
**V**: 142 Å³ per cell



16.
A plane-wave DFT calculation with PBEsol was carried out for a relaxed structure of Ba2WAu.

Cell and atoms, written as POSCAR:
```
Ba2WAu
1.0
4.478 0.000 0.000
2.239 3.878 0.000
2.239 1.293 8.539
Ba Au W
2 1 1
direct
0.963 0.963 0.111
0.787 0.787 0.639
0.208 0.208 0.375
0.542 0.542 0.374
```

Properties
**Uncorrected energy**: -5.0295 eV per atom
**Symmetry**: R3m (160)
**V**: 148 Å³ per cell



17.
A plane-wave DFT calculation with PBEsol was carried out for a relaxed structure of LiAlZn.

Cell and atoms, written as POSCAR:
```
LiAlZn
1.0
-0.341 -2.687 -0.487
2.503 -0.496 1.033
-3.491 0.899 5.235
Zn Li Al
1 1 1
direct
0.334 0.334 0.667
0.671 0.671 0.343
0.995 0.995 0.990
```

Properties
**Uncorrected energy**: -2.6520 eV per atom
**Symmetry**: Fmm2 (42)
**V**: 46 Å³ per cell



18.
A plane-wave DFT calculation with PBEsol was carried out for a relaxed structure of InNiTeI2.

Cell and atoms, written as POSCAR:
```
InNiTeI2
1.0
-4.647 0.795 -3.227
-0.326 -5.601 -0.911
-3.291 -0.557 4.601
I In Ni Te
2 1 1 1
direct
0.000 0.000 0.500
0.000 0.500 0.000
0.000 0.000 0.000
0.500 0.500 0.500
0.500 0.000 0.000
```

Properties
**Raw formation energy**: 0.83 eV/atom
**Symmetry**: P4/mmm (123)
**V**: 185 Å³ per cell



19.
A plane-wave DFT calculation with PBEsol was carried out for a relaxed structure of ReSe3.

Cell and atoms, written as POSCAR:
```
ReSe3
1.0
-0.992 1.533 -2.471
0.942 -0.831 -2.804
-7.381 -5.689 -2.477
Se Re
3 1
direct
0.730 0.730 0.810
0.270 0.270 0.190
0.500 0.500 0.500
0.000 0.000 0.000
```

Properties
**Raw formation energy**: 0.10 eV/atom
**Symmetry**: R-3m (166)
**V**: 77 Å³ per cell



20.
A plane-wave DFT calculation with PBEsol was carried out for a relaxed structure of CdNiSeN2.

Cell and atoms, written as POSCAR:
```
CdNiSeN2
1.0
3.746 0.000 0.000
0.000 3.746 0.000
0.000 0.000 5.077
Se Ni N Cd
1 1 2 1
direct
0.000 0.000 0.500
0.000 0.000 0.000
0.500 0.000 0.000
0.000 0.500 0.000
0.500 0.500 0.500
```

Properties
**Raw formation energy**: 0.97 eV/atom
**Symmetry**: P4/mmm (123)
**V**: 71 Å³ per cell



21.
A plane-wave DFT calculation with PBEsol was carried out for a relaxed structure of LiNiP3O9.

Cell and atoms, written as POSCAR:
```
LiNiP3O9
1.0
-4.614 3.465 2.179
-1.539 -1.645 -5.742
0.131 -5.158 3.379
O P Ni Li
9 3 1 1
direct
0.968 0.649 0.904
0.636 0.276 0.869
0.869 0.636 0.276
0.124 0.086 0.376
0.276 0.869 0.636
0.086 0.376 0.124
0.376 0.124 0.086
0.904 0.968 0.649
0.649 0.904 0.968
0.489 0.038 0.911
0.911 0.489 0.038
0.038 0.911 0.489
0.998 0.998 0.998
0.364 0.364 0.364
```

Properties
**Raw formation energy**: -1.96 eV/atom
**Symmetry**: R3 (146)
**V**: 195 Å³ per cell



22.
A plane-wave DFT calculation with PBEsol was carried out for a relaxed structure of Na3SO4F.

Cell and atoms, written as POSCAR:
```
Na3SO4F
1.0
4.874 0.000 0.000
0.000 4.874 0.000
0.000 0.000 4.874
Na O S F
3 4 1 1
direct
0.000 0.000 0.500
0.000 0.500 0.000
0.500 0.000 0.000
0.676 0.324 0.676
0.324 0.676 0.676
0.324 0.324 0.324
0.676 0.676 0.324
0.500 0.500 0.500
0.000 0.000 0.000
```

Properties
**Raw formation energy**: -2.02 eV/atom
**Symmetry**: P-43m (215)
**V**: 116 Å³ per cell



23.
A plane-wave DFT calculation with PBEsol was carried out for a relaxed structure of NaCa2Pd2.

Cell and atoms, written as POSCAR:
```
NaCa2Pd2
1.0
3.747 0.000 0.000
0.000 7.881 0.000
0.000 0.000 7.881
Ca Pd Na
4 4 2
direct
0.500 0.837 0.337
0.500 0.663 0.837
0.500 0.337 0.163
0.500 0.163 0.663
0.000 0.373 0.873
0.000 0.873 0.627
0.000 0.127 0.373
0.000 0.627 0.127
0.000 0.000 0.000
0.000 0.500 0.500
```

Properties
**Uncorrected energy**: -3.9472 eV per atom
**Symmetry**: P4/mbm (127)
**V**: 233 Å³ per cell



24.
A plane-wave DFT calculation with PBEsol was carried out for a relaxed structure of Cr2CdRh.

Cell and atoms, written as POSCAR:
```
Cr2CdRh
1.0
3.645 0.000 0.000
0.000 3.645 0.000
-1.823 -1.823 4.111
Cd Cr Rh
1 2 1
direct
0.000 0.000 0.000
0.750 0.250 0.500
0.250 0.750 0.500
0.500 0.500 0.000
```

Properties
**Uncorrected energy**: -7.0039 eV per atom
**Symmetry**: I4/mmm (139)
**V**: 55 Å³ per cell



25.
A plane-wave DFT calculation with PBEsol was carried out for a relaxed structure of InSnPSe2.

Cell and atoms, written as POSCAR:
```
InSnPSe2
1.0
-3.864 0.960 2.873
-0.710 -5.087 0.745
3.122 0.171 4.142
Se Sn In P
2 1 1 1
direct
0.000 0.500 0.000
0.000 0.000 0.500
0.500 0.500 0.500
0.000 0.000 0.000
0.500 0.000 0.000
```

Properties
**Raw formation energy**: 0.45 eV/atom
**Symmetry**: P4/mmm (123)
**V**: 132 Å³ per cell